Entry 1:
DFT (PBE) results for a relaxed NaDyAg2F6 crystal. Values from VASP.

Calculated values
Formation energy from raw total energies, eV per formula unit: -25.8
Crystal system: triclinic
N(E_F), states/eV/f.u.: 0.0

The structure in Quantum ESPRESSO input format:
```
&SYSTEM
  ibrav = 0, nat = 10, ntyp = 4
/
ATOMIC_SPECIES
Na 22.99 Na.upf
Dy 162.50 Dy.upf
Ag 107.87 Ag.upf
F 19.00 F.upf
CELL_PARAMETERS angstrom
6.0292 0.0000 0.0000
2.9952 5.2488 0.0000
3.0135 1.7190 5.1169
ATOMIC_POSITIONS crystal
Na 0.0000 0.0000 0.0000
Dy 0.4997 0.5004 0.5001
Ag 0.2697 0.2685 0.1857
Ag 0.7310 0.7304 0.8150
F 0.1483 0.3687 0.7644
F 0.2637 0.8499 0.2547
F 0.3783 0.7324 0.7486
F 0.6223 0.2717 0.2478
F 0.7323 0.1501 0.7485
F 0.8525 0.6304 0.2352
```



Entry 2:
DFT (PBE) results for a relaxed Na2DyAgF6 crystal. Values from VASP.

Calculated values
Formation energy from raw total energies, eV per formula unit: -29.3
Crystal system: trigonal
N(E_F), states/eV/f.u.: 0.0

The structure in Quantum ESPRESSO input format:
```
&SYSTEM
  ibrav = 0, nat = 10, ntyp = 4
/
ATOMIC_SPECIES
Na 22.99 Na.upf
Dy 162.50 Dy.upf
Ag 107.87 Ag.upf
F 19.00 F.upf
CELL_PARAMETERS angstrom
2.9693 1.7143 5.2120
-2.9693 1.7143 5.2120
0.0000 -3.4287 5.2120
ATOMIC_POSITIONS crystal
Na 0.0000 0.0000 0.0000
Na 0.4917 0.4917 0.4917
Dy 0.7013 0.7013 0.7013
Ag 0.2146 0.2146 0.2146
F 0.0797 0.7863 0.4231
F 0.3194 0.6265 0.8747
F 0.4231 0.0797 0.7863
F 0.6265 0.8747 0.3194
F 0.7863 0.4231 0.0797
F 0.8747 0.3194 0.6265
```



Number 1: total energy -48.6 eV per cell. Number 2: total energy -50.6 eV per cell.